Computed, not measured: an optimized crystal structure of CsHfCu2As at the PBEsol level of DFT.

```
data_CsHfCu2As
_chemical_formula_sum 'Cs1 Hf1 Cu2 As1'
_space_group_name_H-M_alt 'P 4/m m m'
_space_group_IT_number 123
_space_group_name_Hall '-P 4 2'
_cell_length_a 4.7901
_cell_length_b 4.7901
_cell_length_c 5.0780
_cell_angle_alpha 90.00
_cell_angle_beta 90.00
_cell_angle_gamma 90.00
loop_
_atom_site_label
_atom_site_type_symbol
_atom_site_fract_x
_atom_site_fract_y
_atom_site_fract_z
Cs1 Cs 0.0000 0.0000 0.0000
Hf1 Hf 0.5000 0.5000 0.0000
Cu1 Cu 0.0000 0.5000 0.5000
As1 As 0.5000 0.5000 0.5000
```

Results
Formation energy ... 623 meV/atom
Calculated density ... 7.32 g/cm3

=====

Computed, not measured: an optimized crystal structure of CsAsF2 at the PBEsol level of DFT.

```
data_CsAsF2
_chemical_formula_sum 'Cs4 As4 F8'
_space_group_name_H-M_alt 'I -4 2 d'
_space_group_IT_number 122
_space_group_name_Hall 'I -4 2bw'
_cell_length_a 5.1531
_cell_length_b 5.1531
_cell_length_c 14.0986
_cell_angle_alpha 90.00
_cell_angle_beta 90.00
_cell_angle_gamma 90.00
loop_
_atom_site_label
_atom_site_type_symbol
_atom_site_fract_x
_atom_site_fract_y
_atom_site_fract_z
Cs1 Cs 0.0000 0.0000 0.0000
As1 As 0.0000 0.0000 0.5000
F1 F 0.0867 0.2500 0.6250
```

Results
E_form (uncorrected) ... -1.33 eV per atom
Calculated density ... 4.36 g/cm3

=====

Computed, not measured: an optimized crystal structure of CsAsF6 at the PBEsol level of DFT.

```
data_CsAsF6
_chemical_formula_sum 'Cs3 As3 F18'
_space_group_name_H-M_alt 'R -3'
_space_group_IT_number 148
_space_group_name_Hall '-R 3'
_cell_length_a 7.7488
_cell_length_b 7.7488
_cell_length_c 7.8620
_cell_angle_alpha 90.00
_cell_angle_beta 90.00
_cell_angle_gamma 120.00
loop_
_atom_site_label
_atom_site_type_symbol
_atom_site_fract_x
_atom_site_fract_y
_atom_site_fract_z
Cs1 Cs 0.0000 0.0000 0.0000
As1 As 0.0000 0.0000 0.5000
F1 F 0.0706 0.2097 0.6306
```

Results
E_form (uncorrected) ... -2.49 eV per atom
Calculated density ... 3.92 g/cm3

=====

Computed, not measured: an optimized crystal structure of Cs3AsF at the PBEsol level of DFT.

```
data_Cs3AsF
_chemical_formula_sum 'Cs3 As1 F1'
_space_group_name_H-M_alt 'P m -3 m'
_space_group_IT_number 221
_space_group_name_Hall '-P 4 2 3'
_cell_length_a 6.7580
_cell_length_b 6.7580
_cell_length_c 6.7580
_cell_angle_alpha 90.00
_cell_angle_beta 90.00
_cell_angle_gamma 90.00
loop_
_atom_site_label
_atom_site_type_symbol
_atom_site_fract_x
_atom_site_fract_y
_atom_site_fract_z
Cs1 Cs 0.0000 0.0000 0.5000
As1 As 0.0000 0.0000 0.0000
F1 F 0.5000 0.5000 0.5000
```

Results
E_form (uncorrected) ... -0.72 eV per atom
Calculated density ... 2.65 g/cm3